VASP calculation (GGA-PBE) on Pm6Ru2AuBr3 after structural relaxation.

Results
- Raw formation energy: -0.904 eV per atom

The structure in POSCAR format:
```
Pm6Ru2AuBr3
1.0
3.587 -6.214 0.000
3.587 6.214 0.000
-2.383 0.000 7.803
Pm Ru Au Br
6 2 1 3
Direct
0.078 0.434 0.802
0.209 0.209 0.198
0.434 0.078 0.802
0.566 0.922 0.198
0.791 0.791 0.802
0.922 0.566 0.198
0.167 0.833 0.000
0.833 0.167 0.000
0.500 0.500 0.000
0.000 0.000 0.500
0.331 0.669 0.500
0.669 0.331 0.500
```

=====

VASP calculation (GGA-PBE) on Pm6Si2AuBr3 after structural relaxation.

Results
- Raw formation energy: -1.025 eV per atom

The structure in POSCAR format:
```
Pm6Si2AuBr3
1.0
9.459 -2.110 0.000
9.459 2.110 0.000
-2.148 0.000 8.565
Pm Si Au Br
6 2 1 3
Direct
0.009 0.009 0.235
0.325 0.325 0.436
0.337 0.337 0.890
0.663 0.663 0.110
0.675 0.675 0.564
0.991 0.991 0.765
0.167 0.167 0.336
0.833 0.833 0.664
0.500 0.500 0.000
0.169 0.169 0.832
0.500 0.500 0.500
0.831 0.831 0.168
```

=====

VASP calculation (GGA-PBE) on Pm4SiAuBr2 after structural relaxation.

Results
- Raw formation energy: -0.998 eV per atom

The structure in POSCAR format:
```
Pm4SiAuBr2
1.0
7.483 0.000 0.000
0.000 4.195 0.000
-2.347 0.000 7.228
Pm Si Au Br
4 1 1 2
Direct
0.220 0.000 0.243
0.221 0.500 0.731
0.779 0.500 0.269
0.780 0.000 0.757
0.000 0.000 0.500
0.000 0.500 0.000
0.500 0.000 0.000
0.500 0.500 0.500
```

=====

VASP calculation (GGA-PBE) on Pm4Te2AuBr after structural relaxation.

Results
- Raw formation energy: -1.198 eV per atom

The structure in POSCAR format:
```
Pm4Te2AuBr
1.0
7.648 0.000 0.000
0.000 4.235 0.000
-2.375 0.000 7.376
Pm Te Au Br
4 2 1 1
Direct
0.231 0.000 0.230
0.241 0.500 0.757
0.759 0.500 0.243
0.769 0.000 0.770
0.000 0.000 0.500
0.500 0.500 0.500
0.000 0.500 0.000
0.500 0.000 0.000
```

=====

VASP calculation (GGA-PBE) on Pr6AuBr8 after structural relaxation.

Results
- Raw formation energy: -1.429 eV per atom

The structure in POSCAR format:
```
Pr6AuBr8
1.0
3.677 2.123 10.992
-3.677 2.123 10.992
0.000 -4.246 10.992
Pr Au Br
6 1 8
Direct
0.053 0.378 0.729
0.271 0.947 0.622
0.378 0.729 0.053
0.622 0.271 0.947
0.729 0.053 0.378
0.947 0.622 0.271
0.000 0.000 0.000
0.109 0.776 0.442
0.224 0.558 0.891
0.333 0.333 0.333
0.442 0.109 0.776
0.558 0.891 0.224
0.667 0.667 0.667
0.776 0.442 0.109
0.891 0.224 0.558
```

=====

VASP calculation (GGA-PBE) on Pr2AuBr after structural relaxation.

Results
- Raw formation energy: -0.973 eV per atom
- Energy relative to the lowest polymorph listed for this composition: 0.00 eV per formula unit

The structure in POSCAR format:
```
Pr2AuBr
1.0
4.045 0.000 0.000
-2.008 7.419 0.000
-0.005 -1.393 8.152
Pr Au Br
4 2 2
Direct
0.005 0.009 0.279
0.253 0.506 0.695
0.747 0.494 0.305
0.995 0.991 0.721
0.397 0.793 0.462
0.603 0.207 0.538
0.147 0.293 0.036
0.853 0.707 0.964
```

=====

VASP calculation (GGA-PBE) on Pr4Au2Br3 after structural relaxation.

Results
- Raw formation energy: -1.155 eV per atom

The structure in POSCAR format:
```
Pr4Au2Br3
1.0
3.688 -2.129 0.000
3.688 2.129 0.000
-0.020 0.000 18.966
Pr Au Br
4 2 3
Direct
0.001 0.001 0.300
0.334 0.334 0.113
0.666 0.666 0.887
0.999 0.999 0.700
0.333 0.333 0.797
0.667 0.667 0.203
0.000 0.000 0.000
0.334 0.334 0.398
0.666 0.666 0.602
```

=====

VASP calculation (GGA-PBE) on PrAuBr6 after structural relaxation.

Results
- Raw formation energy: -0.909 eV per atom

The structure in POSCAR format:
```
PrAuBr6
1.0
5.942 0.000 0.000
0.501 7.365 0.000
2.277 2.559 7.211
Pr Au Br
1 1 6
Direct
0.000 0.000 0.000
0.500 0.500 0.000
0.021 0.805 0.364
0.273 0.381 0.831
0.441 0.835 0.810
0.559 0.165 0.190
0.727 0.619 0.169
0.979 0.195 0.636
```

=====

For reference, total moment by record: 0.0000 0.0001 0.0000 0.0000 0.0000 0.0000 0.0000 0.0000 μB/atom.